An optimized crystal structure of RbGaNi2Os. Source: Alexandria, functional PBE.

a = 4.625 Å, b = 4.625 Å, c = 5.869 Å
α = 90.00°, β = 90.00°, γ = 90.00°
Fractional positions:
Rb: 0.000 0.000 0.000
Ga: 0.500 0.500 0.000
Ni: 0.000 0.500 0.500
Ni: 0.500 0.000 0.500
Os: 0.000 0.000 0.500

Properties
- N(E_F) (states/eV/atom) = 1.38
- ΔE_f (meV per atom) = 1423.7
- M_tot (μB/cell) = 0.000